# Ti9C2O4

Ti9C2O4 after structural relaxation (PBE-GGA, the Alexandria database).

```
data_Ti9C2O4
_space_group_name_H-M_alt 'P -3 c 1'
_space_group_IT_number 165
_space_group_name_Hall '-P 3 2"c'
_cell_length_a 5.2414
_cell_length_b 5.2414
_cell_length_c 14.5484
_cell_angle_alpha 90.00
_cell_angle_beta 90.00
_cell_angle_gamma 120.00
loop_
_atom_site_label
_atom_site_type_symbol
_atom_site_fract_x
_atom_site_fract_y
_atom_site_fract_z
Ti1 Ti 0.0000 0.3236 0.2500
Ti2 Ti 0.0053 0.3377 0.5843
C1 C 0.0000 0.0000 0.1601
O1 O 0.3333 0.6667 0.1712
O2 O 0.3333 0.6667 0.4939
```

Results
E_form (uncorrected)	-1651.3	meV per atom
calculated volume	346.1	Å³ per cell

# Mn2SiIrS

Mn2SiIrS after structural relaxation (PBE-GGA, the Alexandria database).

```
data_Mn2SiIrS
_space_group_name_H-M_alt 'C 1 m 1'
_space_group_IT_number 8
_space_group_name_Hall 'C -2y'
_cell_length_a 7.4255
_cell_length_b 3.0533
_cell_length_c 7.6294
_cell_angle_alpha 90.00
_cell_angle_beta 111.04
_cell_angle_gamma 90.00
loop_
_atom_site_label
_atom_site_type_symbol
_atom_site_fract_x
_atom_site_fract_y
_atom_site_fract_z
Mn1 Mn 0.0000 0.0000 0.0000
Mn2 Mn 0.0048 0.0000 0.4035
Si1 Si 0.4551 0.0000 0.6508
Ir1 Ir 0.2168 0.0000 0.7782
S1 S 0.1500 0.5000 0.2442
```

Results
E_form (uncorrected)	-189.0	meV per atom
calculated volume	161.4	Å³ per cell
polymorph energy (0 for the lowest one)	0.099	eV/atom

# MnFeSb3

MnFeSb3 after structural relaxation (PBE-GGA, the Alexandria database).

```
data_MnFeSb3
_space_group_name_H-M_alt 'P m -3 m'
_space_group_IT_number 221
_space_group_name_Hall '-P 4 2 3'
_cell_length_a 4.8790
_cell_length_b 4.8790
_cell_length_c 4.8790
_cell_angle_alpha 90.00
_cell_angle_beta 90.00
_cell_angle_gamma 90.00
loop_
_atom_site_label
_atom_site_type_symbol
_atom_site_fract_x
_atom_site_fract_y
_atom_site_fract_z
Mn1 Mn 0.0000 0.0000 0.0000
Fe1 Fe 0.5000 0.5000 0.5000
Sb1 Sb 0.0000 0.5000 0.5000
```

Results
E_form (uncorrected)	1074.6	meV per atom
calculated volume	116.1	Å³ per cell
polymorph energy (0 for the lowest one)	0.189	eV/atom

# NaICl

NaICl after structural relaxation (PBE-GGA, the Alexandria database).

```
data_NaICl
_space_group_name_H-M_alt 'C 1 2/m 1'
_space_group_IT_number 12
_space_group_name_Hall '-C 2y'
_cell_length_a 22.4501
_cell_length_b 4.1308
_cell_length_c 4.1498
_cell_angle_alpha 90.00
_cell_angle_beta 94.39
_cell_angle_gamma 90.00
loop_
_atom_site_label
_atom_site_type_symbol
_atom_site_fract_x
_atom_site_fract_y
_atom_site_fract_z
Na1 Na 0.1837 0.0000 0.2220
I1 I 0.0570 0.5000 0.9036
Cl1 Cl 0.1898 0.5000 0.7175
```

Results
E_form (uncorrected)	-1110.9	meV per atom
calculated volume	383.7	Å³ per cell
polymorph energy (0 for the lowest one)	0.000	eV/atom

# Pm4DyHo

Pm4DyHo after structural relaxation (PBE-GGA, the Alexandria database).

```
data_Pm4DyHo
_space_group_name_H-M_alt 'F -4 3 m'
_space_group_IT_number 216
_space_group_name_Hall 'F -4 2 3'
_cell_length_a 9.3975
_cell_length_b 9.3975
_cell_length_c 9.3975
_cell_angle_alpha 90.00
_cell_angle_beta 90.00
_cell_angle_gamma 90.00
loop_
_atom_site_label
_atom_site_type_symbol
_atom_site_fract_x
_atom_site_fract_y
_atom_site_fract_z
Pm1 Pm 0.1249 0.1249 0.1249
Dy1 Dy 0.0000 0.0000 0.5000
Ho1 Ho 0.2500 0.2500 0.7500
```

Results
calculated volume	829.9	Å³ per cell
polymorph energy (0 for the lowest one)	0.203	eV/atom
formation energy	0.26	eV per atom

# LaSm4Dy3S8

LaSm4Dy3S8 after structural relaxation (PBE-GGA, the Alexandria database).

```
data_LaSm4Dy3S8
_space_group_name_H-M_alt 'R -3 m'
_space_group_IT_number 166
_space_group_name_Hall '-R 3 2"'
_cell_length_a 7.9811
_cell_length_b 7.9811
_cell_length_c 19.5589
_cell_angle_alpha 90.00
_cell_angle_beta 90.00
_cell_angle_gamma 120.00
loop_
_atom_site_label
_atom_site_type_symbol
_atom_site_fract_x
_atom_site_fract_y
_atom_site_fract_z
La1 La 0.0000 0.0000 0.0000
Sm1 Sm 0.0000 0.0000 0.5000
Sm2 Sm 0.0000 0.5000 0.5000
Dy1 Dy 0.0000 0.5000 0.0000
S1 S 0.0000 0.0000 0.2535
S2 S 0.0091 0.5046 0.2514
```

Results
E_form (uncorrected)	-2020.9	meV per atom
calculated volume	1079.0	Å³ per cell

# CeBIr2

CeBIr2 after structural relaxation (PBE-GGA, the Alexandria database).

```
data_CeBIr2
_space_group_name_H-M_alt 'R -3 m'
_space_group_IT_number 166
_space_group_name_Hall '-R 3 2"'
_cell_length_a 4.7978
_cell_length_b 4.7978
_cell_length_c 13.9222
_cell_angle_alpha 90.00
_cell_angle_beta 90.00
_cell_angle_gamma 120.00
loop_
_atom_site_label
_atom_site_type_symbol
_atom_site_fract_x
_atom_site_fract_y
_atom_site_fract_z
Ce1 Ce 0.0000 0.0000 0.0000
B1 B 0.0000 0.0000 0.5000
Ir1 Ir 0.0000 0.0000 0.3627
```

Results
calculated volume	277.5	Å³ per cell
formation energy	-0.01	eV per atom

# CoIr2W

CoIr2W after structural relaxation (PBE-GGA, the Alexandria database).

```
data_CoIr2W
_space_group_name_H-M_alt 'P m m m'
_space_group_IT_number 47
_space_group_name_Hall '-P 2 2'
_cell_length_a 2.7543
_cell_length_b 3.7450
_cell_length_c 5.4706
_cell_angle_alpha 90.00
_cell_angle_beta 90.00
_cell_angle_gamma 90.00
loop_
_atom_site_label
_atom_site_type_symbol
_atom_site_fract_x
_atom_site_fract_y
_atom_site_fract_z
Co1 Co 0.0000 0.0000 0.0000
Ir1 Ir 0.5000 0.5000 0.2394
W1 W 0.0000 0.0000 0.5000
```

Results
calculated volume	56.4	Å³ per cell
polymorph energy (0 for the lowest one)	0.051	eV/atom
formation energy	-0.16	eV per atom

Number 1: DFT total energy -268.21 eV for the cell shown. Number 2: DFT total energy -75.39 eV for the cell shown. Number 3: DFT total energy -24.63 eV for the cell shown. Number 4: DFT total energy -32.19 eV for the cell shown. Number 5: DFT total energy -106.43 eV for the cell shown. Number 6: DFT total energy -308.89 eV for the cell shown. Number 7: DFT total energy -91.12 eV for the cell shown. Number 8: DFT total energy -38.43 eV for the cell shown.